1.
This record from Alexandria describes a relaxed structure of Ce2H8Rh3. The functional is GGA-PBE.

Cell and atoms, written as CIF:
```
data_Ce2H8Rh3
_chemical_formula_sum 'Ce4 H16 Rh6'
_symmetry_space_group_name_H-M 'C 1 2/m 1'
_symmetry_Int_Tables_number 12
_cell_length_a 9.8046
_cell_length_b 5.7947
_cell_length_c 4.9786
_cell_angle_alpha 90.00
_cell_angle_beta 111.98
_cell_angle_gamma 90.00
loop_
_symmetry_equiv_pos_as_xyz
'x,y,z'
'-x,-y,-z'
'-x,y,-z'
'x,-y,z'
'x+1/2,y+1/2,z'
'-x+1/2,-y+1/2,-z'
'-x+1/2,y+1/2,-z'
'x+1/2,-y+1/2,z'
loop_
_atom_site_label
_atom_site_type_symbol
_atom_site_fract_x
_atom_site_fract_y
_atom_site_fract_z
Ce1 Ce 0.1896 0.0000 0.1851
H1 H 0.1006 0.5000 0.3765
H2 H 0.1054 0.3089 0.8793
H3 H 0.1279 0.0000 0.6167
Rh1 Rh 0.0000 0.2410 0.5000
Rh2 Rh 0.0000 0.5000 0.0000
```

The value obtained for the total energy is -5.05 eV per atom.

---

2.
This record from Alexandria describes a relaxed structure of Er3Tm8Th2. The functional is GGA-PBE.

Cell and atoms, written as CIF:
```
data_Er3Tm8Th2
_chemical_formula_sum 'Er6 Tm16 Th4'
_symmetry_space_group_name_H-M 'C m m m'
_symmetry_Int_Tables_number 65
_symmetry_space_group_name_Hall '-C 2 2'
_cell_length_a 7.2763
_cell_length_b 20.6470
_cell_length_c 5.5716
_cell_angle_alpha 90.00
_cell_angle_beta 90.00
_cell_angle_gamma 90.00
loop_
_atom_site_label
_atom_site_type_symbol
_atom_site_fract_x
_atom_site_fract_y
_atom_site_fract_z
Er1 Er 0.0000 0.0000 0.0000
Er2 Er 0.2275 0.5000 0.5000
Tm1 Tm 0.0000 0.1389 0.5000
Tm2 Tm 0.0000 0.3360 0.5000
Tm3 Tm 0.2200 0.3903 0.0000
Th1 Th 0.0000 0.2453 0.0000
```

The value obtained for the total energy is -4.67 eV per atom. The formation energy is 0.28 eV/atom.